LiMgScPb: relaxed, PBE.

Cell: 4.1934 4.4108 4.7504 Å, 90.00 90.00 90.00°
Closest atoms and distances in Å follow each position.
Positions (direct):
Li 0.5000 0.5000 0.0000  4 Mg 3.04, 4 Pb 3.17, 4 Sc 3.24
Mg 0.0000 0.0000 0.0000  4 Li 3.04, 4 Sc 3.17, 4 Pb 3.24
Sc 0.5000 0.0000 0.5000  4 Pb 3.04, 4 Mg 3.17, 4 Li 3.24
Pb 0.0000 0.5000 0.5000  4 Sc 3.04, 4 Li 3.17, 4 Mg 3.24

## Properties
- Excess energy over the best structure of this formula in the dataset: 0.0 kJ/mol of formula units
- Formation enthalpy at 0 K: -1.1 eV/f.u.
- SG: No. 47
- Mass density: 5356 kg/m3